# Pa2NbWN6 PBE-GGA relaxed
data_Pa2NbWN6
_chemical_formula_sum 'Pa2 Nb1 W1 N6'
_space_group_name_H-M_alt 'P 4 m m'
_space_group_IT_number 99
_space_group_name_Hall 'P 4 -2'
_cell_length_a 5.5081
_cell_length_b 5.5081
_cell_length_c 4.7417
_cell_angle_alpha 90.00
_cell_angle_beta 90.00
_cell_angle_gamma 90.00
loop_
_atom_site_label
_atom_site_fract_x
_atom_site_fract_y
_atom_site_fract_z
Pa1 0.0000 0.5000 0.0000
Nb1 0.0000 0.0000 0.6050
W1 0.5000 0.5000 0.6118
N1 0.0000 0.0000 0.2082
N2 0.2534 0.2534 0.7637
N3 0.5000 0.5000 0.2291
# Uncorrected energy (eV/atom): -10.175
# Theoretical density (g/cm3): 9.50
# Formation energy (no corrections) (eV per atom): -0.9782